The following is a PBE calculation of TbEr6Tm2 after structural relaxation, from the Alexandria database.

Its space-group type is No. 160. The total magnetic moment comes out at 0.0 μB/cell. The final energy is -4.146 eV/atom. The energy above the most stable polymorph in this dataset is 270 meV/atom. The formation energy is 0.40 eV/atom.

Structure (POSCAR):
```
TbEr6Tm2
1.0
-6.344 -0.146 -2.640
-0.882 -0.434 -6.802
-2.437 -7.626 -2.669
Tb Er Tm
1 6 2
Direct
0.334 0.334 0.998 Tb
0.772 0.279 0.670 Er
0.280 0.772 0.670 Er
0.279 0.280 0.670 Er
0.054 0.564 0.328 Er
0.054 0.054 0.328 Er
0.564 0.054 0.328 Er
0.748 0.748 0.757 Tm
0.582 0.582 0.254 Tm
```

The following is a PBE calculation of Sr8Ca2Mg after structural relaxation, from the Alexandria database.

Its space-group type is No. 12. The total magnetic moment comes out at 0.0 μB/cell. The final energy is -1.713 eV/atom. The energy above the most stable polymorph in this dataset is 0 meV/atom. The formation energy is 0.02 eV/atom.

Structure (POSCAR):
```
Sr8Ca2Mg
1.0
0.765 1.803 -5.951
1.065 -7.845 -2.241
-10.837 -0.608 1.720
Sr Ca Mg
8 2 1
Direct
0.412 0.583 0.823 Sr
0.667 0.913 0.334 Sr
0.780 0.359 0.559 Sr
0.034 0.759 0.067 Sr
0.220 0.641 0.441 Sr
0.333 0.087 0.666 Sr
0.588 0.417 0.177 Sr
0.966 0.241 0.933 Sr
0.851 0.824 0.702 Ca
0.149 0.176 0.298 Ca
0.500 0.000 0.000 Mg
```

The following is a PBE calculation of CsK4Br5 after structural relaxation, from the Alexandria database.

Its space-group type is No. 71. The total magnetic moment comes out at 0.0 μB/cell. The final energy is -3.105 eV/atom. The energy above the most stable polymorph in this dataset is 0 meV/atom. The uncorrected formation energy is -1.74 eV/atom.

Structure (POSCAR):
```
CsK4Br5
1.0
4.723 0.000 -0.911
-0.355 6.626 -1.839
0.024 -0.017 12.822
Cs K Br
1 4 5
Direct
0.000 0.000 0.000 Cs
0.397 0.397 0.793 K
0.795 0.795 0.590 K
0.205 0.205 0.410 K
0.603 0.603 0.207 K
0.610 0.110 0.221 Br
0.801 0.301 0.602 Br
0.199 0.699 0.398 Br
0.000 0.500 0.000 Br
0.390 0.890 0.779 Br
```

The following is a PBE calculation of Sm3Zn2Au4 after structural relaxation, from the Alexandria database.

Its space-group type is No. 12. The total magnetic moment comes out at 0.0 μB/cell. The final energy is -4.026 eV/atom. The formation energy is -0.71 eV/atom.

Structure (POSCAR):
```
Sm3Zn2Au4
1.0
4.638 0.000 0.000
-2.319 5.323 -0.519
0.000 -2.960 8.351
Sm Zn Au
3 2 4
Direct
0.651 0.302 0.684 Sm
0.000 0.000 0.000 Sm
0.349 0.698 0.316 Sm
0.644 0.289 0.315 Zn
0.356 0.711 0.685 Zn
0.717 0.435 0.068 Au
0.283 0.565 0.932 Au
0.922 0.844 0.600 Au
0.078 0.156 0.400 Au
```